Record 1
Crystalline Li3Zn8Pd at its relaxed geometry, computed with PBE.

- Spin magnetization: 0.00 μB per atom
- Fermi-level density of states: 9.64 states/eV/cell
- DFT formation energy: -0.22 eV/atom

Unit cell a=5.0633 b=5.0633 c=24.8229 alpha=90.00 beta=90.00 gamma=120.00
Closest atoms and distances in Å follow each position.
Space group R3m (No. 160, hexagonal axes)
Unique sites:
Li 0.0000 0.0000 0.0000 [3 per cell]  12 Zn 2.97-3.00, 4 Li 3.13-3.17
Li 0.0000 0.0000 0.1278 [3 per cell]  12 Zn 2.88-2.99, 3 Pd 3.08, 1 Li 3.17
Li 0.0000 0.0000 0.6214 [3 per cell]  12 Zn 2.94-3.08, 1 Pd 3.01, 3 Li 3.13
Zn 0.0000 0.0000 0.3130 [3 per cell]  6 Zn 2.54-2.56
Zn 0.0000 0.0000 0.8126 [3 per cell]  6 Zn 2.51
Zn 0.0024 0.5012 0.0638 [9 per cell]  6 Zn 2.51-2.55
Zn 0.1671 0.3342 0.8947 [9 per cell]  6 Zn 2.51-2.56
Pd 0.0000 0.0000 0.5000 [3 per cell]  12 Zn 2.94-2.97, 4 Li 3.01-3.08

---

Record 2
Crystalline Pm2YHo5Tm at its relaxed geometry, computed with PBE.

- Spin magnetization: 0.00 μB per atom
- Fermi-level density of states: 48.27 states/eV/cell
- DFT formation energy: 0.28 eV/atom

Unit cell a=8.5926 b=8.5926 c=15.6355 alpha=90.00 beta=90.00 gamma=90.00
Closest atoms and distances in Å follow each position.
Space group I4/mcm (No. 140)
Unique sites:
Pm 0.1175 0.3825 0.0000 [8 per cell]  1 Pm 2.86, 2 Ho 3.01
Y 0.0000 0.0000 0.2500 [4 per cell]  10 Ho 3.52-3.91
Ho 0.0000 0.0000 0.0000 [4 per cell]  4 Pm 3.44, 8 Ho 3.77
Ho 0.2125 0.2875 0.3601 [16 per cell]  1 Pm 3.01, 1 Tm 3.10
Tm 0.0000 0.5000 0.2500 [4 per cell]  4 Ho 3.10